VASP calculation (PBE) on a relaxed TbHo3Ir8 crystal.

Values from the calculation:
Calculated formation energy in eV per atom: -0.82
Total magnetic moment in Bohr magnetons per cell: 0.000

a b c (Å): 5.3561 5.3561 26.2122
angles (deg): 90.00 90.00 120.00
Closest atoms and distances in Å follow each position.
Space group R3m (No. 160, hexagonal axes)
One atom of each set of equivalent atoms:
Tb (0.0000, 0.0000, 0.0000) [3 per cell]  12 Ir 3.14, 4 Ho 3.28
Ho (0.0000, 0.0000, 0.1250) [3 per cell]  12 Ir 3.13-3.14, 1 Tb 3.28, 3 Ho 3.28
Ho (0.0000, 0.0000, 0.4999) [3 per cell]  12 Ir 3.13-3.14, 4 Ho 3.27-3.28
Ho (0.0000, 0.0000, 0.6248) [3 per cell]  12 Ir 3.14-3.15, 1 Ho 3.27, 3 Tb 3.28
Ir (0.0000, 0.0000, 0.3124) [3 per cell]  6 Ir 2.68
Ir (0.0000, 0.0000, 0.8124) [3 per cell]  6 Ir 2.67
Ir (0.0001, 0.5001, 0.0626) [9 per cell]  6 Ir 2.67-2.68
Ir (0.9998, 0.4999, 0.5622) [9 per cell]  6 Ir 2.67-2.68

---

VASP calculation (PBE) on a relaxed Sm4ZnHg3 crystal.

Values from the calculation:
Energy above the most stable polymorph in this dataset in meV per atom: 0
Calculated formation energy in eV per atom: -0.43
Total magnetic moment in Bohr magnetons per cell: 0.967

a b c (Å): 3.7387 3.7387 15.1512
angles (deg): 90.00 90.00 90.00
Closest atoms and distances in Å follow each position.
Space group P4/mmm (No. 123)
One atom of each set of equivalent atoms:
Sm (0.0000, 0.0000, 0.1139) [2 per cell]  4 Zn 3.16, 4 Hg 3.28, 1 Sm 3.45
Sm (0.0000, 0.0000, 0.3723) [2 per cell]  8 Hg 3.28-3.30
Zn (0.5000, 0.5000, 0.0000) [1 per cell]  8 Sm 3.16
Hg (0.5000, 0.5000, 0.2425) [2 per cell]  8 Sm 3.28-3.30, 1 Zn 3.67
Hg (0.5000, 0.5000, 0.5000) [1 per cell]  8 Sm 3.28

---

VASP calculation (PBE) on a relaxed HoZnCl5 crystal.

Values from the calculation:
Total magnetic moment in Bohr magnetons per cell: 0.000
Uncorrected formation energy in meV/atom: -1770

a b c (Å): 8.4511 11.6019 9.7312
angles (deg): 90.00 114.91 90.00
Closest atoms and distances in Å follow each position.
Space group C2/c (No. 15)
One atom of each set of equivalent atoms:
Ho (0.0000, 0.0000, 0.0000) [4 per cell]  6 Cl 2.64-2.65
Zn (0.0000, 0.3003, 0.2500) [4 per cell]  4 Cl 2.29-2.31
Cl (0.0000, 0.0886, 0.7500) [4 per cell]  2 Ho 2.64
Cl (0.1471, 0.1923, 0.1449) [8 per cell]  1 Zn 2.29
Cl (0.1843, 0.4201, 0.4396) [8 per cell]  1 Zn 2.31

---

VASP calculation (PBE) on a relaxed Zr2PaZn9 crystal.

Values from the calculation:
Calculated formation energy in eV per atom: -0.17
Total magnetic moment in Bohr magnetons per cell: 0.001

a b c (Å): 8.7492 8.7492 5.3246
angles (deg): 90.00 90.00 90.00
Closest atoms and distances in Å follow each position.
Space group P4/mbm (No. 127)
One atom of each set of equivalent atoms:
Zr (0.1261, 0.3739, 0.0000) [4 per cell]  12 Zn 2.78-3.09
Pa (0.0000, 0.0000, 0.0000) [2 per cell]  16 Zn 3.26-3.47, 4 Zr 3.45
Zn (0.0000, 0.5000, 0.5000) [2 per cell]  8 Zn 2.56-2.66
Zn (0.0674, 0.2036, 0.5000) [8 per cell]  8 Zn 2.65-2.83
Zn (0.1730, 0.6730, 0.2344) [8 per cell]  6 Zn 2.50-2.75, 1 Zr 2.78